[1]
HfSc2TiAl: optimized geometry, PBE.

- volume (Å³/cell) = 118
- E_form (eV/atom) = 0.72
- theoretical density (Mg/m³) = 4.833
- crystal system = tetragonal
- magnetization (μB/cell) = 0.00

Geometry as CIF:
```
data_HfSc2TiAl
_chemical_formula_sum 'Hf1 Sc2 Ti1 Al1'
_symmetry_space_group_name_H-M 'P 1'
_symmetry_Int_Tables_number 1
_symmetry_space_group_name_Hall 'P 1'
_cell_length_a 4.880
_cell_length_b 4.880
_cell_length_c 4.952
_cell_angle_alpha 90.00
_cell_angle_beta 90.00
_cell_angle_gamma 90.00
loop_
_atom_site_label
_atom_site_type_symbol
_atom_site_fract_x
_atom_site_fract_y
_atom_site_fract_z
Hf1 Hf 0.000 0.000 0.000
Sc1 Sc 0.000 0.500 0.500
Sc2 Sc 0.500 0.000 0.500
Ti1 Ti 0.000 0.000 0.500
Al1 Al 0.500 0.500 0.000
```

[2]
HfScAlZn: optimized geometry, PBE.

- volume (Å³/cell) = 75
- E_form (eV/atom) = -0.33
- theoretical density (Mg/m³) = 7.031
- crystal system = tetragonal
- magnetization (μB/cell) = 0.00

Geometry as CIF:
```
data_HfScAlZn
_chemical_formula_sum 'Hf1 Sc1 Al1 Zn1'
_symmetry_space_group_name_H-M 'P 1'
_symmetry_Int_Tables_number 1
_symmetry_space_group_name_Hall 'P 1'
_cell_length_a 3.251
_cell_length_b 3.251
_cell_length_c 7.057
_cell_angle_alpha 90.00
_cell_angle_beta 90.00
_cell_angle_gamma 90.00
loop_
_atom_site_label
_atom_site_type_symbol
_atom_site_fract_x
_atom_site_fract_y
_atom_site_fract_z
Hf1 Hf 0.000 0.000 0.000
Sc1 Sc 0.000 0.000 0.515
Al1 Al 0.500 0.500 0.255
Zn1 Zn 0.500 0.500 0.756
```

Q: What is the formula in the second record?
A: HfScAlZn